The following is a DFT calculation (PBE) of a relaxed structure of NiRh4W.

Results
symmetry = F-43m, No. 216

Cell: 5.0224 5.0224 5.0224 Å, 60.00 60.00 60.00°
Last column: nearest neighbours and their distance in Å.
Fractional coordinates of all 6 atoms:
1 Ni 0.0000 0.0000 0.0000  12 Rh 2.94, 4 W 3.08
2 Rh 0.3747 0.3747 0.8760  6 Rh 2.50-2.52
3 Rh 0.3747 0.8760 0.3747  6 Rh 2.50-2.52
4 Rh 0.3747 0.3747 0.3747  6 Rh 2.50-2.52
5 W 0.7500 0.7500 0.7500  12 Rh 2.95, 4 Ni 3.08
6 Rh 0.8760 0.3747 0.3747  6 Rh 2.50-2.52



The following is a DFT calculation (PBE) of a relaxed structure of NiRh2W.

Results
symmetry = P4/mmm, No. 123

Cell: 2.7513 2.7513 7.4067 Å, 90.00 90.00 89.97°
Last column: nearest neighbours and their distance in Å.
Fractional coordinates of all 4 atoms:
1 Rh 0.0000 0.0000 0.5058  4 Ni 2.66, 4 W 2.72, 4 Rh 2.75
2 W 0.5000 0.5000 0.2500  8 Rh 2.72, 4 W 2.75
3 Ni 0.5000 0.5000 0.7500  8 Rh 2.66, 4 Ni 2.75
4 Rh 0.0000 0.0000 0.9942  4 Ni 2.66, 4 W 2.72, 4 Rh 2.75



The following is a DFT calculation (PBE) of a relaxed structure of Ni2Rh2W.

Results
symmetry = C2/m, No. 12

Cell: 4.5078 6.0475 2.7086 Å, 89.97 107.49 103.36°
Last column: nearest neighbours and their distance in Å.
Fractional coordinates of all 5 atoms:
1 Rh 0.2248 0.3852 0.6124  4 Ni 2.58-2.67, 5 Rh 2.64-2.79, 2 W 2.67
2 Rh 0.7752 0.6148 0.3876  4 Ni 2.58-2.67, 5 Rh 2.64-2.79, 2 W 2.67
3 Ni 0.6029 0.1759 0.3009  4 Ni 2.49-2.71, 3 W 2.55-2.60, 4 Rh 2.58-2.67
4 Ni 0.3971 0.8241 0.6991  4 Ni 2.49-2.71, 3 W 2.55-2.60, 4 Rh 2.58-2.67
5 W 0.0000 0.0000 0.0000  6 Ni 2.55-2.60, 4 Rh 2.67, 2 W 2.71



| no. | spin magnetization (μB per atom) | polymorph energy (0 for the lowest one) (eV per formula unit) |
| --- | --- | --- |
| 1 | 0.109 | 2.52 |
| 2 | 0.003 | 0.69 |
| 3 | 0.000 | 0.66 |